[1]
# GGA-PBE Pm3HoGa8, relaxed
# calculated density: 7.8 Mg/m³
# energy of formation from the pure elements: -566 meV per atom
# calculated total energy: -4.15 eV per atom
data_Pm3HoGa8
_chemical_formula_sum 'Pm9 Ho3 Ga24'
_symmetry_space_group_name_H-M 'R 3 m'
_symmetry_Int_Tables_number 160
_symmetry_space_group_name_Hall 'R 3 -2"'
_cell_length_a 5.5577
_cell_length_b 5.5577
_cell_length_c 27.5696
_cell_angle_alpha 90.00
_cell_angle_beta 90.00
_cell_angle_gamma 120.00
loop_
_atom_site_label
_atom_site_fract_x
_atom_site_fract_y
_atom_site_fract_z
Pm1 0.0000 0.0000 0.0000
Pm2 0.0000 0.0000 0.1244
Pm3 0.0000 0.0000 0.5003
Ho1 0.0000 0.0000 0.6238
Ga1 0.0000 0.0000 0.3119
Ga2 0.0000 0.0000 0.8124
Ga3 0.0003 0.5002 0.5630
Ga4 0.1670 0.3339 0.3947


[2]
# GGA-PBE RbCrGe3, relaxed
# calculated density: 3.4 Mg/m³
# energy of formation from the pure elements: 2002 meV per atom
# energy above the most stable polymorph in this dataset: 9.486 eV per formula unit
# calculated total energy: -2.89 eV per atom
data_RbCrGe3
_chemical_formula_sum 'Rb1 Cr1 Ge3'
_symmetry_space_group_name_H-M 'P m -3 m'
_symmetry_Int_Tables_number 221
_symmetry_space_group_name_Hall '-P 4 2 3'
_cell_length_a 5.555
_cell_length_b 5.555
_cell_length_c 5.555
_cell_angle_alpha 90.00
_cell_angle_beta 90.00
_cell_angle_gamma 90.00
loop_
_atom_site_label
_atom_site_fract_x
_atom_site_fract_y
_atom_site_fract_z
Rb1 0.000 0.000 0.000
Cr1 0.500 0.500 0.500
Ge1 0.000 0.000 0.500


[3]
# GGA-PBE KIrOs, relaxed
# calculated density: 9.8 Mg/m³
# energy of formation from the pure elements: 466 meV per atom
# energy above the most stable polymorph in this dataset: 0.000 eV per formula unit
# calculated total energy: -6.60 eV per atom
data_KIrOs
_chemical_formula_sum 'K2 Ir2 Os2'
_symmetry_space_group_name_H-M 'P 1 21/m 1'
_symmetry_Int_Tables_number 11
_symmetry_space_group_name_Hall '-P 2yb'
_cell_length_a 5.261
_cell_length_b 4.126
_cell_length_c 6.685
_cell_angle_alpha 90.00
_cell_angle_beta 100.96
_cell_angle_gamma 90.00
loop_
_atom_site_label
_atom_site_fract_x
_atom_site_fract_y
_atom_site_fract_z
K1 0.233 0.250 0.436
Ir1 0.110 0.250 0.934
Os1 0.392 0.750 0.054


[4]
# GGA-PBE VAgHCl2, relaxed
# calculated density: 3.2 Mg/m³
# calculated total energy: -3.57 eV per atom
data_VAgHCl2
_chemical_formula_sum 'V1 Ag1 H1 Cl2'
_symmetry_space_group_name_H-M 'P 4/m m m'
_symmetry_Int_Tables_number 123
_symmetry_space_group_name_Hall '-P 4 2'
_cell_length_a 4.636
_cell_length_b 4.636
_cell_length_c 5.566
_cell_angle_alpha 90.00
_cell_angle_beta 90.00
_cell_angle_gamma 90.00
loop_
_atom_site_label
_atom_site_fract_x
_atom_site_fract_y
_atom_site_fract_z
V1 0.000 0.000 0.000
Ag1 0.000 0.000 0.500
H1 0.500 0.500 0.500
Cl1 0.000 0.500 0.000


[5]
# GGA-PBE CaAcAlGe, relaxed
# calculated density: 5.5 Mg/m³
# energy of formation from the pure elements: -345 meV per atom
# energy above the most stable polymorph in this dataset: 0.728 eV per formula unit
# calculated total energy: -3.96 eV per atom
data_CaAcAlGe
_chemical_formula_sum 'Ca4 Ac4 Al4 Ge4'
_symmetry_space_group_name_H-M 'F -4 3 m'
_symmetry_Int_Tables_number 216
_symmetry_space_group_name_Hall 'F -4 2 3'
_cell_length_a 7.644
_cell_length_b 7.644
_cell_length_c 7.644
_cell_angle_alpha 90.00
_cell_angle_beta 90.00
_cell_angle_gamma 90.00
loop_
_atom_site_label
_atom_site_fract_x
_atom_site_fract_y
_atom_site_fract_z
Ca1 0.000 0.000 0.000
Ac1 0.000 0.000 0.500
Al1 0.250 0.250 0.250
Ge1 0.250 0.250 0.750


[6]
# GGA-PBE SiMo3N, relaxed
# calculated density: 8.0 Mg/m³
# energy above the most stable polymorph in this dataset: 0.000 eV per formula unit
# formation energy (no corrections): -13 kJ per mole of atoms
# calculated total energy: -9.39 eV per atom
data_SiMo3N
_chemical_formula_sum 'Si1 Mo3 N1'
_symmetry_space_group_name_H-M 'P m -3 m'
_symmetry_Int_Tables_number 221
_symmetry_space_group_name_Hall '-P 4 2 3'
_cell_length_a 4.085
_cell_length_b 4.085
_cell_length_c 4.085
_cell_angle_alpha 90.00
_cell_angle_beta 90.00
_cell_angle_gamma 90.00
loop_
_atom_site_label
_atom_site_fract_x
_atom_site_fract_y
_atom_site_fract_z
Si1 0.000 0.000 0.000
Mo1 0.000 0.500 0.500
N1 0.500 0.500 0.500


[7]
# GGA-PBE KNa2RhF8, relaxed
# calculated density: 3.0 Mg/m³
# formation energy (no corrections): -202 kJ per mole of atoms
# calculated total energy: -4.26 eV per atom
data_KNa2RhF8
_chemical_formula_sum 'K1 Na2 Rh1 F8'
_symmetry_space_group_name_H-M 'P -1'
_symmetry_Int_Tables_number 2
_symmetry_space_group_name_Hall '-P 1'
_cell_length_a 4.936
_cell_length_b 4.996
_cell_length_c 7.623
_cell_angle_alpha 90.08
_cell_angle_beta 90.03
_cell_angle_gamma 92.42
loop_
_atom_site_label
_atom_site_fract_x
_atom_site_fract_y
_atom_site_fract_z
K1 0.000 0.000 0.000
Na1 0.500 0.500 0.254
Rh1 0.000 0.000 0.500
F1 0.141 0.777 0.317
F2 0.142 0.778 0.683
F3 0.322 0.233 0.500
F4 0.482 0.258 0.000


[8]
# GGA-PBE RbMg14BO15, relaxed
# calculated density: 3.1 Mg/m³
# energy above the most stable polymorph in this dataset: 0.000 eV per formula unit
# formation energy (no corrections): -223 kJ per mole of atoms
# calculated total energy: -5.67 eV per atom
data_RbMg14BO15
_chemical_formula_sum 'Rb1 Mg14 B1 O15'
_symmetry_space_group_name_H-M 'P m m 2'
_symmetry_Int_Tables_number 25
_symmetry_space_group_name_Hall 'P 2 -2'
_cell_length_a 4.249
_cell_length_b 8.068
_cell_length_c 10.736
_cell_angle_alpha 90.00
_cell_angle_beta 90.00
_cell_angle_gamma 90.00
loop_
_atom_site_label
_atom_site_fract_x
_atom_site_fract_y
_atom_site_fract_z
Rb1 0.000 0.000 0.000
Mg1 0.000 0.000 0.459
Mg2 0.000 0.244 0.660
Mg3 0.000 0.253 0.251
Mg4 0.000 0.500 0.426
Mg5 0.500 0.000 0.260
Mg6 0.500 0.000 0.686
Mg7 0.500 0.252 0.447
Mg8 0.500 0.287 0.879
Mg9 0.500 0.500 0.166
Mg10 0.500 0.500 0.641
B1 0.000 0.500 0.794
O1 0.000 0.000 0.256
O2 0.000 0.000 0.651
O3 0.000 0.256 0.455
O4 0.000 0.342 0.844
O5 0.000 0.500 0.235
O6 0.500 0.000 0.453
O7 0.500 0.000 0.873
O8 0.500 0.248 0.239
O9 0.500 0.259 0.670
O10 0.500 0.500 0.460
O11 0.500 0.500 0.979


[9]
# GGA-PBE Pm5Pr3Ho4, relaxed
# calculated density: 7.3 Mg/m³
# energy of formation from the pure elements: 221 meV per atom
# energy above the most stable polymorph in this dataset: 2.461 eV per formula unit
# calculated total energy: -4.48 eV per atom
data_Pm5Pr3Ho4
_chemical_formula_sum 'Pm10 Pr6 Ho8'
_symmetry_space_group_name_H-M 'C 1 2/m 1'
_symmetry_Int_Tables_number 12
_symmetry_space_group_name_Hall '-C 2y'
_cell_length_a 16.266
_cell_length_b 6.022
_cell_length_c 9.361
_cell_angle_alpha 90.00
_cell_angle_beta 116.11
_cell_angle_gamma 90.00
loop_
_atom_site_label
_atom_site_fract_x
_atom_site_fract_y
_atom_site_fract_z
Pm1 0.000 0.000 0.000
Pm2 0.076 0.500 0.698
Pm3 0.173 0.500 0.387
Pr1 0.000 0.500 0.000
Pr2 0.208 0.000 0.227
Ho1 0.082 0.000 0.442
Ho2 0.211 0.000 0.875


[10]
# GGA-PBE KTeP4, relaxed
# calculated density: 2.7 Mg/m³
# formation energy (no corrections): 0 kJ per mole of atoms
# calculated total energy: -4.31 eV per atom
data_KTeP4
_chemical_formula_sum 'K4 Te4 P16'
_symmetry_space_group_name_H-M 'F -4 3 m'
_symmetry_Int_Tables_number 216
_symmetry_space_group_name_Hall 'F -4 2 3'
_cell_length_a 8.906
_cell_length_b 8.906
_cell_length_c 8.906
_cell_angle_alpha 90.00
_cell_angle_beta 90.00
_cell_angle_gamma 90.00
loop_
_atom_site_label
_atom_site_fract_x
_atom_site_fract_y
_atom_site_fract_z
K1 0.000 0.000 0.000
Te1 0.250 0.250 0.250
P1 0.088 0.088 0.588


[11]
# GGA-PBE FeNiP, relaxed
# calculated density: 6.3 Mg/m³
# energy of formation from the pure elements: 154 meV per atom
# calculated total energy: -6.40 eV per atom
data_FeNiP
_chemical_formula_sum 'Fe1 Ni1 P1'
_symmetry_space_group_name_H-M 'P -6 m 2'
_symmetry_Int_Tables_number 187
_symmetry_space_group_name_Hall 'P -6 2'
_cell_length_a 4.1165
_cell_length_b 4.1165
_cell_length_c 2.6038
_cell_angle_alpha 90.00
_cell_angle_beta 90.00
_cell_angle_gamma 120.00
loop_
_atom_site_label
_atom_site_fract_x
_atom_site_fract_y
_atom_site_fract_z
Fe1 0.0000 0.0000 0.0000
Ni1 0.3333 0.6667 0.0000
P1 0.6667 0.3333 0.0000


[12]
# GGA-PBE Sr2AuO, relaxed
# calculated density: 6.6 Mg/m³
# formation energy (no corrections): -147 kJ per mole of atoms
# calculated total energy: -4.42 eV per atom
data_Sr2AuO
_chemical_formula_sum 'Sr6 Au3 O3'
_symmetry_space_group_name_H-M 'R -3 m'
_symmetry_Int_Tables_number 166
_symmetry_space_group_name_Hall '-R 3 2"'
_cell_length_a 3.8780
_cell_length_b 3.8780
_cell_length_c 22.3824
_cell_angle_alpha 90.00
_cell_angle_beta 90.00
_cell_angle_gamma 120.00
loop_
_atom_site_label
_atom_site_fract_x
_atom_site_fract_y
_atom_site_fract_z
Sr1 0.0000 0.0000 0.2326
Au1 0.0000 0.0000 0.0000
O1 0.0000 0.0000 0.5000


| no. | N(E_F) (states/eV per atom) |
| --- | --- |
| 1 | 0.690 |
| 2 | 0.955 |
| 3 | 0.629 |
| 4 | 0.688 |
| 5 | 0.514 |
| 6 | 0.572 |
| 7 | 0.843 |
| 8 | 0.000 |
| 9 | 1.615 |
| 10 | 0.974 |
| 11 | 1.022 |
| 12 | 0.598 |